Material: BeTlCu2
Method: DFT, meta-GGA SCAN
State: single point on PBEsol structure

abc: 3.7861 3.7861 4.6301
angles: 114.13 114.13 90.00
With the nearest neighbours (Å) after each atom.
Positions (direct):
1 Be 0.2500 0.7500 0.5000  4 Tl 2.67, 8 Cu 2.67-2.68
2 Cu 0.0000 0.0000 0.0000  4 Be 2.67, 4 Cu 2.67, 4 Tl 2.68
3 Cu 0.7500 0.2500 0.5000  4 Tl 2.67, 4 Cu 2.67, 4 Be 2.68
4 Tl 0.5000 0.5000 0.0000  4 Be 2.67, 8 Cu 2.67-2.68

Summary:
Excess energy over the best structure of this formula in the dataset in eV per atom: 0.1217
Symmetry: No. 119
ΔE_f in eV/atom: 0.340

Material: MnZnF6
Method: DFT, meta-GGA SCAN
State: single point on PBEsol structure

abc: 4.9525 4.9525 5.2588
angles: 61.91 61.91 60.00
With the nearest neighbours (Å) after each atom.
Positions (direct):
1 Zn 0.0000 0.0000 0.0000  6 F 2.02
2 Mn 0.5000 0.5000 0.5000  6 F 1.81
3 F 0.3936 0.7328 0.7374  1 Mn 1.81, 1 Zn 2.02
4 F 0.8638 0.6064 0.2626  1 Mn 1.81, 1 Zn 2.02
5 F 0.1362 0.3936 0.7374  1 Mn 1.81, 1 Zn 2.02
6 F 0.7328 0.1362 0.7374  1 Mn 1.81, 1 Zn 2.02
7 F 0.6064 0.2672 0.2626  1 Mn 1.81, 1 Zn 2.02
8 F 0.2672 0.8638 0.2626  1 Mn 1.81, 1 Zn 2.02

Summary:
Symmetry: No. 148
Energy relative to the elements, uncorrected in eV per formula unit: -20.9

Material: La2RePt
Method: DFT, meta-GGA SCAN
State: single point on PBEsol structure

abc: 3.6822 3.6980 8.4697
angles: 102.45 90.00 119.86
With the nearest neighbours (Å) after each atom.
Positions (direct):
1 La 0.7487 0.4975 0.7457  3 Pt 2.93-2.94, 3 Re 2.98
2 La 0.2513 0.5025 0.2543  3 Pt 2.93-2.94, 3 Re 2.98
3 Pt 0.0000 0.0000 0.5000  6 La 2.93-2.94
4 Re 0.5000 0.0000 0.0000  6 La 2.98

Summary:
Excess energy over the best structure of this formula in the dataset in eV per atom: 0.1980
Symmetry: No. 12
ΔE_f in eV/atom: -0.018

Material: KMg2Rh
Method: DFT, meta-GGA SCAN
State: single point on PBEsol structure

abc: 3.2288 4.3489 7.9003
angles: 95.91 90.00 111.79
With the nearest neighbours (Å) after each atom.
Positions (direct):
1 K 0.5000 0.0000 0.0000  2 K 3.23, 2 Mg 3.47
2 Mg 0.7233 0.4467 0.6498  3 Rh 2.61-2.64
3 Mg 0.2767 0.5533 0.3502  3 Rh 2.61-2.64
4 Rh 0.0000 0.0000 0.5000  6 Mg 2.61-2.64

Summary:
Symmetry: No. 12
ΔE_f in eV/atom: 0.030

Material: Li2PbW
Method: DFT, meta-GGA SCAN
State: single point on PBEsol structure

abc: 2.9196 2.9196 9.3574
angles: 90.00 90.00 107.59
With the nearest neighbours (Å) after each atom.
Positions (direct):
1 Li 0.0000 0.0000 0.0155  2 W 2.76, 6 Li 2.92-3.05
2 Li 0.5000 0.5000 0.7462  6 Li 2.92-3.05, 2 Pb 2.93
3 Pb 0.0000 0.0000 0.4927  2 W 2.89, 4 Pb 2.92, 2 Li 2.93
4 W 0.5000 0.5000 0.2455  2 Li 2.76, 2 Pb 2.89, 4 W 2.92

Summary:
Symmetry: No. 35
ΔE_f in eV/atom: 0.496

Material: SrGeAs2
Method: DFT, meta-GGA SCAN
State: single point on PBEsol structure

abc: 6.4793 6.4793 6.4793
angles: 76.09 67.68 112.32
With the nearest neighbours (Å) after each atom.
Positions (direct):
1 Sr 0.0000 0.0000 0.0000  4 As 3.13
2 Sr 0.5000 0.2500 0.2500  4 As 3.13
3 As 0.0754 0.4504 0.1250  2 Ge 2.42
4 As 0.9246 0.7996 0.6250  2 Ge 2.42
5 As 0.4246 0.6250 0.4504  2 Ge 2.42
6 As 0.5754 0.1250 0.7996  2 Ge 2.42
7 Ge 0.0000 0.5000 0.5000  4 As 2.42
8 Ge 0.5000 0.7500 0.7500  4 As 2.42

Summary:
Symmetry: No. 122
ΔE_f in eV/atom: -0.629